# Ho4I

An optimized crystal structure of Ho4I (PBE, Alexandria via LeMat-Bulk).

The structure belongs to space group Pm-3m (No. 221); the cell edges are 5.6194, 5.6194 and 5.6194 Å and the angles 90.00°, 90.00° and 90.00°. The distinct sites, in fractional coordinates, are Ho at (0.0000, 0.0000, 0.0000), Ho at (0.0000, 0.5000, 0.5000) and I at (0.5000, 0.5000, 0.5000).

The theoretical density comes out at 7.361 g cm⁻³. The value obtained for the magnetization is 0.00 μB/f.u.

***

# HoI

An optimized crystal structure of HoI (PBE, Alexandria via LeMat-Bulk).

The structure belongs to space group P2_1/m (No. 11); the cell edges are 3.8864, 3.8864 and 9.5211 Å and the angles 90.00°, 90.23° and 90.00°. The distinct sites, in fractional coordinates, are Ho at (0.2489, 0.2500, 0.3820) and I at (0.2529, 0.2500, 0.7989).

The theoretical density comes out at 6.740 g cm⁻³. The value obtained for the magnetization is 0.00 μB/f.u.

***

Short version: formation energy from raw total energies = 210, -843 meV per atom, in the order given.